[1]
# Sc3AlIr4, optimized geometry, DFT PBE-GGA
data_Sc3AlIr4
_symmetry_space_group_name_H-M 'P 1'
_symmetry_Int_Tables_number 1
_symmetry_space_group_name_Hall 'P 1'
_cell_length_a 3.194
_cell_length_b 4.486
_cell_length_c 8.947
_cell_angle_alpha 90.00
_cell_angle_beta 90.00
_cell_angle_gamma 90.00
loop_
_atom_site_label
_atom_site_type_symbol
_atom_site_fract_x
_atom_site_fract_y
_atom_site_fract_z
Ir1 Ir 0.000 0.000 0.500
Ir2 Ir 0.000 0.500 0.239
Ir3 Ir 0.000 0.000 0.000
Ir4 Ir 0.000 0.500 0.761
Sc1 Sc 0.500 0.000 0.756
Sc2 Sc 0.500 0.000 0.244
Sc3 Sc 0.500 0.500 0.500
Al1 Al 0.500 0.500 0.000
# Energy of formation from the pure elements (eV/atom): -0.981
# E_tot (eV/cell): -66.03
# Size of the total moment (Bohr magnetons per cell): 0.00

[2]
# ScAl3Ir, optimized geometry, DFT PBE-GGA
data_ScAl3Ir
_symmetry_space_group_name_H-M 'P 1'
_symmetry_Int_Tables_number 1
_symmetry_space_group_name_Hall 'P 1'
_cell_length_a 4.888
_cell_length_b 4.888
_cell_length_c 4.888
_cell_angle_alpha 90.00
_cell_angle_beta 90.00
_cell_angle_gamma 90.00
loop_
_atom_site_label
_atom_site_type_symbol
_atom_site_fract_x
_atom_site_fract_y
_atom_site_fract_z
Al1 Al 0.000 0.000 0.500
Al2 Al 0.500 0.000 0.000
Al3 Al 0.000 0.500 0.000
Ir1 Ir 0.500 0.500 0.500
Sc1 Sc 0.000 0.000 0.000
# Relative energy among the computed polymorphs (meV/atom): 2248
# Energy of formation from the pure elements (eV/atom): 1.598
# E_tot (eV/cell): -18.43
# Size of the total moment (Bohr magnetons per cell): 0.00

[3]
# ScAl3Ir4, optimized geometry, DFT PBE-GGA
data_ScAl3Ir4
_symmetry_space_group_name_H-M 'P 1'
_symmetry_Int_Tables_number 1
_symmetry_space_group_name_Hall 'P 1'
_cell_length_a 4.296
_cell_length_b 6.278
_cell_length_c 8.592
_cell_angle_alpha 90.00
_cell_angle_beta 90.00
_cell_angle_gamma 90.00
loop_
_atom_site_label
_atom_site_type_symbol
_atom_site_fract_x
_atom_site_fract_y
_atom_site_fract_z
Ir1 Ir 0.500 0.762 0.500
Ir2 Ir 0.500 0.762 0.000
Ir3 Ir 0.500 0.238 0.000
Ir4 Ir 0.500 0.238 0.500
Ir5 Ir 0.000 0.238 0.250
Ir6 Ir 0.000 0.238 0.750
Ir7 Ir 0.000 0.762 0.250
Ir8 Ir 0.000 0.762 0.750
Al1 Al 0.000 0.000 0.000
Al2 Al 0.500 0.500 0.750
Al3 Al 0.500 0.000 0.250
Al4 Al 0.500 0.000 0.750
Al5 Al 0.500 0.500 0.250
Al6 Al 0.000 0.000 0.500
Sc1 Sc 0.000 0.500 0.500
Sc2 Sc 0.000 0.500 0.000
# Energy of formation from the pure elements (eV/atom): -0.971
# E_tot (eV/cell): -121.55
# Size of the total moment (Bohr magnetons per cell): 0.00

[4]
# Sc2Al3Ir, optimized geometry, DFT PBE-GGA
data_Sc2Al3Ir
_symmetry_space_group_name_H-M 'P 1'
_symmetry_Int_Tables_number 1
_symmetry_space_group_name_Hall 'P 1'
_cell_length_a 5.295
_cell_length_b 5.295
_cell_length_c 5.242
_cell_angle_alpha 90.02
_cell_angle_beta 120.40
_cell_angle_gamma 119.92
loop_
_atom_site_label
_atom_site_type_symbol
_atom_site_fract_x
_atom_site_fract_y
_atom_site_fract_z
Ir1 Ir 0.000 0.000 0.000
Al1 Al 0.000 0.000 0.500
Al2 Al 0.500 0.500 0.500
Al3 Al 0.500 0.000 0.500
Sc1 Sc 0.745 0.372 0.118
Sc2 Sc 0.255 0.628 0.882
# Energy of formation from the pure elements (eV/atom): -0.749
# E_tot (eV/cell): -37.25
# Size of the total moment (Bohr magnetons per cell): 0.00

[5]
# ScAlIr2, optimized geometry, DFT PBE-GGA
data_ScAlIr2
_symmetry_space_group_name_H-M 'P 1'
_symmetry_Int_Tables_number 1
_symmetry_space_group_name_Hall 'P 1'
_cell_length_a 3.132
_cell_length_b 3.132
_cell_length_c 6.221
_cell_angle_alpha 90.00
_cell_angle_beta 90.00
_cell_angle_gamma 90.00
loop_
_atom_site_label
_atom_site_type_symbol
_atom_site_fract_x
_atom_site_fract_y
_atom_site_fract_z
Ir1 Ir 0.000 0.000 0.984
Ir2 Ir 0.000 0.000 0.516
Sc1 Sc 0.500 0.500 0.250
Al1 Al 0.500 0.500 0.750
# Energy of formation from the pure elements (eV/atom): -0.969
# E_tot (eV/cell): -31.67
# Size of the total moment (Bohr magnetons per cell): 0.00

[6]
# ScAlIr, optimized geometry, DFT PBE-GGA
data_ScAlIr
_symmetry_space_group_name_H-M 'P 1'
_symmetry_Int_Tables_number 1
_symmetry_space_group_name_Hall 'P 1'
_cell_length_a 3.093
_cell_length_b 3.093
_cell_length_c 6.374
_cell_angle_alpha 90.00
_cell_angle_beta 90.00
_cell_angle_gamma 120.00
loop_
_atom_site_label
_atom_site_type_symbol
_atom_site_fract_x
_atom_site_fract_y
_atom_site_fract_z
Al1 Al 0.000 0.000 0.029
Ir1 Ir 0.667 0.333 0.323
Sc1 Sc 0.333 0.667 0.649
# Energy of formation from the pure elements (eV/atom): -0.393
# E_tot (eV/cell): -20.11
# Size of the total moment (Bohr magnetons per cell): 0.00

energy of formation from the pure elements of number 4 (Sc2Al3Ir)?
-0.749 eV/atom

Which of these has the highest E_tot?
ScAl3Ir

What is the formula in the sixth record?
ScAlIr